No. 1
{"formula": "Li2GaHg2", "functional": "PBE", "state": "optimized geometry", "cell": [[3.856, 0.000, 0.000], [0.000, 3.856, 0.000], [0.000, 0.000, 13.907]], "species": ["Li", "Li", "Li", "Li", "Ga", "Ga", "Hg", "Hg", "Hg", "Hg"], "fractional_positions": [[0.000, 0.500, 0.250], [0.000, 0.500, 0.750], [0.500, 0.000, 0.250], [0.500, 0.000, 0.750], [0.000, 0.000, 0.000], [0.500, 0.500, 0.500], [0.000, 0.000, 0.391], [0.000, 0.000, 0.609], [0.500, 0.500, 0.109], [0.500, 0.500, 0.891]], "formation_enthalpy_0k_mev_per_atom": -121, "e_tot_ev_per_atom": -1.6123, "density_g_cm3": 7.8}

---

No. 2
{"formula": "LiGa2Hg", "functional": "PBE", "state": "optimized geometry", "cell": [[3.513, 0.000, 0.000], [0.000, 3.513, 0.000], [0.000, 0.000, 6.292]], "species": ["Li", "Ga", "Ga", "Hg"], "fractional_positions": [[0.000, 0.000, 0.000], [0.500, 0.500, 0.230], [0.500, 0.500, 0.770], [0.000, 0.000, 0.500]], "formation_enthalpy_0k_mev_per_atom": -68, "e_tot_ev_per_atom": -2.1352, "density_g_cm3": 7.4}

---

No. 3
{"formula": "Li4Ga3Hg2", "functional": "PBE", "state": "optimized geometry", "cell": [[3.925, -2.268, 0.000], [3.925, 2.268, 0.000], [-0.024, 0.000, 8.956]], "species": ["Li", "Li", "Li", "Li", "Ga", "Ga", "Ga", "Hg", "Hg"], "fractional_positions": [[0.001, 0.001, 0.329], [0.334, 0.334, 0.151], [0.666, 0.666, 0.849], [0.999, 0.999, 0.671], [0.000, 0.000, 0.000], [0.333, 0.333, 0.522], [0.667, 0.667, 0.478], [0.333, 0.333, 0.839], [0.667, 0.667, 0.161]], "formation_enthalpy_0k_mev_per_atom": -288, "e_tot_ev_per_atom": -2.2147, "density_g_cm3": 6.6}

---

No. 4
{"formula": "LiGaHg2", "functional": "PBE", "state": "optimized geometry", "cell": [[6.375, 0.000, 0.000], [0.000, 3.726, 0.000], [-2.053, 0.000, 7.492]], "species": ["Li", "Li", "Ga", "Ga", "Hg", "Hg", "Hg", "Hg"], "fractional_positions": [[0.000, 0.000, 0.000], [0.500, 0.500, 0.000], [0.336, 0.500, 0.499], [0.836, 0.000, 0.499], [0.257, 0.000, 0.758], [0.415, 0.000, 0.241], [0.757, 0.500, 0.758], [0.915, 0.500, 0.241]], "formation_enthalpy_0k_mev_per_atom": -102, "e_tot_ev_per_atom": -1.4882, "density_g_cm3": 8.9}